SrCaTl4: relaxed, PBE.

The space group is F-43m (No. 216) and the conventional cell measures 9.166, 9.166 and 9.166 Å, with angles of 90.00, 90.00 and 90.00 degrees. Symmetry generates all atoms from Sr at (0.000, 0.000, 0.000), Ca at (0.250, 0.250, 0.750) and Tl at (0.125, 0.125, 0.375).

The total energy comes out at -2.3966 eV per atom. The value obtained for the formation energy is -0.21 eV/atom. The calculation puts the offset from the most stable computed form at 87 meV per atom. The total magnetization is 0.00 μB/cell.